Density functional theory data (PBE) for a geometry-optimized AcAl8ZnAg2 structure.

## Properties
Electronic total energy, eV/f.u.: -40.944
Formation energy from the elements, meV/atom: 7
Magnetic moment, Bohr magnetons per cell: 0.00

a b c (Å): 4.9873 4.9873 11.4849
angles (deg): 92.62 92.62 61.93
Last column: nearest neighbours and their distance in Å.
Sites, in units of the cell vectors:
Ac (0.0000, 0.0000, 0.5000)  2 Al 3.23, 2 Ag 3.26
Al (0.7574, 0.2559, 0.8039)  3 Al 2.56-2.71, 1 Zn 2.59, 2 Ag 2.61-2.76
Al (0.6731, 0.6731, 0.0134)  3 Zn 2.81-2.96, 7 Al 2.91-3.02, 1 Ag 3.12
Al (0.7157, 0.7157, 0.6745)  2 Ag 2.64, 2 Al 2.71
Al (0.2843, 0.2843, 0.3255)  2 Ag 2.64, 2 Al 2.71
Al (0.3269, 0.3269, 0.9866)  3 Zn 2.81-2.96, 7 Al 2.91-3.02, 1 Ag 3.12
Al (0.2559, 0.7574, 0.8039)  3 Al 2.56-2.71, 1 Zn 2.59, 2 Ag 2.61-2.76
Al (0.7441, 0.2426, 0.1961)  3 Al 2.56-2.71, 1 Zn 2.59, 2 Ag 2.61-2.76
Al (0.2426, 0.7441, 0.1961)  3 Al 2.56-2.71, 1 Zn 2.59, 2 Ag 2.61-2.76
Zn (0.0000, 0.0000, 0.0000)  6 Al 2.59-2.81
Ag (0.7383, 0.7383, 0.2829)  6 Al 2.61-2.76
Ag (0.2617, 0.2617, 0.7171)  6 Al 2.61-2.76